[1]
Crystalline ReBI2 at its relaxed geometry. Source: Alexandria, functional PBE.

Structure (extended XYZ):
```
4
Lattice="0.0000 3.3664 3.3664 3.3664 0.0000 3.3664 3.3664 3.3664 0.0000" Properties=species:S:1:pos:R:3 pbc="T T T"
B 0.0000 0.0000 0.0000
I 1.6832 1.6832 1.6832
Re 3.3664 3.3664 3.3664
I 5.0496 5.0496 5.0496
```

Results
calculated volume	19.08	Å³ per atom
calculated total energy	-14.67	eV per formula unit
formation energy from raw total energies	7.557	eV/f.u.
space group	Fm-3m

[2]
Crystalline CdSnSb at its relaxed geometry. Source: Alexandria, functional PBE.

Structure (extended XYZ):
```
3
Lattice="-2.2436 -2.1829 0.2720 1.9203 -1.7541 1.7630 -2.7675 5.8590 6.0442" Properties=species:S:1:pos:R:3 pbc="T T T"
Sb -2.8258 1.5700 7.4402
Cd -0.7416 0.9850 1.7878
Sn -1.7355 0.1219 4.8117
```

Results
calculated volume	28.23	Å³ per atom
calculated total energy	-8.82	eV per formula unit
formation energy from raw total energies	0.220	eV/f.u.
space group	I4mm

[3]
Crystalline Al2V2Fe at its relaxed geometry. Source: Alexandria, functional PBE.

Structure (extended XYZ):
```
10
Lattice="-0.4999 1.5438 -3.7005 -3.3297 -2.2375 -0.4836 -2.9529 6.8611 5.4672" Properties=species:S:1:pos:R:3 pbc="T T T"
Al -4.3893 6.3115 1.0199
Fe -1.9148 -0.3469 -2.0921
V -3.1742 4.2479 2.2009
V -2.4052 -0.1280 0.2715
V -5.7922 4.4048 2.6200
Fe -4.0987 2.1384 1.4457
V -3.6083 1.9195 -0.9179
Al -0.9782 1.7465 -1.3453
Al -1.7055 2.2825 1.1826
Al -5.0769 3.8849 0.1004
```

Results
calculated volume	14.38	Å³ per atom
formation energy	-10.41	kJ/mol of atoms
calculated total energy	-34.72	eV per formula unit
space group	I4_1/amd

[4]
Crystalline Ac8Ir3Pt2 at its relaxed geometry. Source: Alexandria, functional PBE.

Structure (extended XYZ):
```
13
Lattice="-4.8437 -4.4889 -3.2885 6.4228 -3.9541 -4.0628 -0.9688 -1.3319 8.7970" Properties=species:S:1:pos:R:3 pbc="T T T"
Ac -3.9481 -4.8549 -1.5165
Ir -2.4218 -2.2445 -1.6443
Pt -0.4839 -3.2214 2.3702
Ac -0.6505 -6.7281 -3.5127
Ac -2.8541 -4.1640 4.2735
Ac 3.4644 -5.6109 -2.8278
Ac 0.5115 -6.2359 2.1446
Ir 4.7729 -2.9383 -3.0191
Ac 4.5584 -4.9199 2.9622
Ac 1.2608 -3.0468 4.9584
Ac 0.0988 -3.5390 -0.6990
Ir 1.6499 -1.0157 -1.0436
Pt 1.0942 -6.5534 -0.9245
```

Results
calculated volume	36.26	Å³ per atom
formation energy	-69.23	kJ/mol of atoms
calculated total energy	-80.86	eV per formula unit
space group	C2/m

Please write out number 2 again, unchanged.
Crystalline CdSnSb at its relaxed geometry. Source: Alexandria, functional PBE.

Structure (extended XYZ):
```
3
Lattice="-2.2436 -2.1829 0.2720 1.9203 -1.7541 1.7630 -2.7675 5.8590 6.0442" Properties=species:S:1:pos:R:3 pbc="T T T"
Sb -2.8258 1.5700 7.4402
Cd -0.7416 0.9850 1.7878
Sn -1.7355 0.1219 4.8117
```

Results
calculated volume	28.23	Å³ per atom
calculated total energy	-8.82	eV per formula unit
formation energy from raw total energies	0.220	eV/f.u.
space group	I4mm

- calculated total energy of number 2 (CdSnSb)?
  -8.82 eV per formula unit

- Which of these has the highest calculated total energy?
  CdSnSb